(1)
# GdSnSO | OQMD | PBE-GGA | relaxed
# E above lowest polymorph ... 52 meV/atom
# Crystal system ... orthorhombic
# Calculated density ... 6.014 g/cm3
# V ... 22.37 Å³/atom
data_GdSnSO
_chemical_formula_sum 'Gd8 Sn8 S8 O8'
_cell_length_a 6.2780
_cell_length_b 16.6587
_cell_length_c 6.8440
_cell_angle_alpha 90.00
_cell_angle_beta 90.00
_cell_angle_gamma 90.00
_symmetry_space_group_name_H-M 'P 1'
_symmetry_Int_Tables_number 1
_symmetry_space_group_name_Hall 'P 1'
loop_
_atom_site_label
_atom_site_fract_x
_atom_site_fract_y
_atom_site_fract_z
_atom_site_occupancy
O1 0.3286 0.2452 0.8385 1
O2 0.8286 0.2452 0.6615 1
O3 0.3286 0.2548 0.3385 1
O4 0.1714 0.7452 0.8385 1
O5 0.8286 0.2548 0.1615 1
O6 0.6714 0.7452 0.6615 1
O7 0.1714 0.7548 0.3385 1
O8 0.6714 0.7548 0.1615 1
Gd1 0.6515 0.2007 0.3974 1
Gd2 0.1515 0.2993 0.6026 1
Gd3 0.3485 0.7007 0.1026 1
Gd4 0.8485 0.7993 0.8974 1
Gd5 0.6515 0.2993 0.8974 1
Gd6 0.8485 0.7007 0.3974 1
Gd7 0.1515 0.2007 0.1026 1
Gd8 0.3485 0.7993 0.6026 1
S1 0.5013 0.9086 0.8814 1
S2 0.9987 0.0914 0.3814 1
S3 0.0013 0.5914 0.1186 1
S4 0.9987 0.4086 0.8814 1
S5 0.0013 0.9086 0.6186 1
S6 0.4987 0.4086 0.6186 1
S7 0.4987 0.0914 0.1186 1
S8 0.5013 0.5914 0.3814 1
Sn1 0.6763 0.5241 0.8358 1
Sn2 0.6763 0.9759 0.3358 1
Sn3 0.1763 0.9759 0.1642 1
Sn4 0.8237 0.0241 0.8358 1
Sn5 0.3237 0.4759 0.1642 1
Sn6 0.3237 0.0241 0.6642 1
Sn7 0.8237 0.4759 0.3358 1
Sn8 0.1763 0.5241 0.6642 1

(2)
# GdSnSO | OQMD | PBE-GGA | relaxed
# E above lowest polymorph ... 50 meV/atom
# Crystal system ... orthorhombic
# Calculated density ... 6.125 g/cm3
# V ... 21.96 Å³/atom
data_GdSnSO
_chemical_formula_sum 'Gd8 Sn8 S8 O8'
_cell_length_a 6.2373
_cell_length_b 6.6039
_cell_length_c 17.0624
_cell_angle_alpha 90.00
_cell_angle_beta 90.00
_cell_angle_gamma 90.00
_symmetry_space_group_name_H-M 'P 1'
_symmetry_Int_Tables_number 1
_symmetry_space_group_name_Hall 'P 1'
loop_
_atom_site_label
_atom_site_fract_x
_atom_site_fract_y
_atom_site_fract_z
_atom_site_occupancy
O1 0.1610 0.3241 0.2458 1
O2 0.6610 0.6759 0.2542 1
O3 0.1610 0.8241 0.2542 1
O4 0.8390 0.1759 0.7458 1
O5 0.3390 0.8241 0.7542 1
O6 0.3390 0.3241 0.7458 1
O7 0.6610 0.1759 0.2458 1
O8 0.8390 0.6759 0.7542 1
Gd1 0.8467 0.4110 0.3022 1
Gd2 0.8467 0.9110 0.1978 1
Gd3 0.1533 0.0890 0.8022 1
Gd4 0.6533 0.9110 0.6978 1
Gd5 0.3467 0.5890 0.1978 1
Gd6 0.6533 0.4110 0.8022 1
Gd7 0.3467 0.0890 0.3022 1
Gd8 0.1533 0.5890 0.6978 1
S1 0.0016 0.3814 0.9085 1
S2 0.4984 0.3814 0.4085 1
S3 0.4984 0.8814 0.0915 1
S4 0.5016 0.6186 0.5915 1
S5 0.9984 0.1186 0.4085 1
S6 0.0016 0.8814 0.5915 1
S7 0.9984 0.6186 0.0915 1
S8 0.5016 0.1186 0.9085 1
Sn1 0.6796 0.3368 0.0243 1
Sn2 0.3204 0.6632 0.9757 1
Sn3 0.6796 0.8368 0.4757 1
Sn4 0.3204 0.1632 0.5243 1
Sn5 0.8204 0.8368 0.9757 1
Sn6 0.1796 0.6632 0.4757 1
Sn7 0.8204 0.3368 0.5243 1
Sn8 0.1796 0.1632 0.0243 1

(3)
# GdSnSO | OQMD | PBE-GGA | relaxed
# E above lowest polymorph ... 53 meV/atom
# Crystal system ... orthorhombic
# Calculated density ... 5.974 g/cm3
# V ... 22.51 Å³/atom
data_GdSnSO
_chemical_formula_sum 'Gd8 Sn8 S8 O8'
_cell_length_a 6.2264
_cell_length_b 7.0417
_cell_length_c 16.4323
_cell_angle_alpha 90.00
_cell_angle_beta 90.00
_cell_angle_gamma 90.00
_symmetry_space_group_name_H-M 'P 1'
_symmetry_Int_Tables_number 1
_symmetry_space_group_name_Hall 'P 1'
loop_
_atom_site_label
_atom_site_fract_x
_atom_site_fract_y
_atom_site_fract_z
_atom_site_occupancy
Sn1 0.1711 0.6597 0.5292 1
Sn2 0.3289 0.1597 0.4708 1
Sn3 0.1711 0.1597 0.9708 1
Sn4 0.3289 0.6597 0.0292 1
Sn5 0.6711 0.3403 0.9708 1
Sn6 0.8289 0.8403 0.0292 1
Sn7 0.8289 0.3403 0.4708 1
Sn8 0.6711 0.8403 0.5292 1
O1 0.3290 0.8554 0.2495 1
O2 0.8290 0.6446 0.2495 1
O3 0.6710 0.1446 0.7505 1
O4 0.8290 0.1446 0.2505 1
O5 0.1710 0.8554 0.7495 1
O6 0.6710 0.6446 0.7495 1
O7 0.3290 0.3554 0.2505 1
O8 0.1710 0.3554 0.7505 1
S1 0.9968 0.8760 0.4137 1
S2 0.5032 0.3760 0.5863 1
S3 0.4968 0.6240 0.4137 1
S4 0.5032 0.8760 0.9137 1
S5 0.0032 0.6240 0.9137 1
S6 0.9968 0.3760 0.0863 1
S7 0.0032 0.1240 0.5863 1
S8 0.4968 0.1240 0.0863 1
Gd1 0.6615 0.3876 0.1999 1
Gd2 0.6615 0.8876 0.3001 1
Gd3 0.8385 0.3876 0.6999 1
Gd4 0.3385 0.1124 0.6999 1
Gd5 0.1615 0.6124 0.3001 1
Gd6 0.8385 0.8876 0.8001 1
Gd7 0.3385 0.6124 0.8001 1
Gd8 0.1615 0.1124 0.1999 1

(4)
# GdSnSO | OQMD | PBE-GGA | relaxed
# E above lowest polymorph ... 60 meV/atom
# Crystal system ... orthorhombic
# Calculated density ... 6.377 g/cm3
# V ... 21.09 Å³/atom
data_GdSnSO
_chemical_formula_sum 'Gd8 Sn8 S8 O8'
_cell_length_a 6.5517
_cell_length_b 16.3502
_cell_length_c 6.3013
_cell_angle_alpha 90.00
_cell_angle_beta 90.00
_cell_angle_gamma 90.00
_symmetry_space_group_name_H-M 'P 1'
_symmetry_Int_Tables_number 1
_symmetry_space_group_name_Hall 'P 1'
loop_
_atom_site_label
_atom_site_fract_x
_atom_site_fract_y
_atom_site_fract_z
_atom_site_occupancy
Gd1 0.6101 0.1970 0.9516 1
Gd2 0.3899 0.6970 0.5484 1
Gd3 0.6101 0.3030 0.4516 1
Gd4 0.1101 0.3030 0.0484 1
Gd5 0.3899 0.8030 0.0484 1
Gd6 0.8899 0.6970 0.9516 1
Gd7 0.1101 0.1970 0.5484 1
Gd8 0.8899 0.8030 0.4516 1
S1 0.0042 0.6147 0.3491 1
S2 0.5042 0.6147 0.1509 1
S3 0.0042 0.8853 0.8491 1
S4 0.4958 0.3853 0.8491 1
S5 0.9958 0.3853 0.6509 1
S6 0.4958 0.1147 0.3491 1
S7 0.5042 0.8853 0.6509 1
S8 0.9958 0.1147 0.1509 1
Sn1 0.2882 0.0077 0.1242 1
Sn2 0.7118 0.9923 0.8758 1
Sn3 0.7118 0.5077 0.3758 1
Sn4 0.7882 0.4923 0.8758 1
Sn5 0.2118 0.9923 0.6242 1
Sn6 0.2118 0.5077 0.1242 1
Sn7 0.2882 0.4923 0.6242 1
Sn8 0.7882 0.0077 0.3758 1
O1 0.2094 0.7204 0.8334 1
O2 0.2906 0.2796 0.3334 1
O3 0.2906 0.2204 0.8334 1
O4 0.7094 0.7204 0.6666 1
O5 0.7906 0.2796 0.1666 1
O6 0.2094 0.7796 0.3334 1
O7 0.7906 0.2204 0.6666 1
O8 0.7094 0.7796 0.1666 1

(5)
# GdSnSO | OQMD | PBE-GGA | relaxed
# E above lowest polymorph ... 0 meV/atom
# Crystal system ... orthorhombic
# Calculated density ... 6.656 g/cm3
# V ... 20.21 Å³/atom
data_GdSnSO
_chemical_formula_sum 'Gd8 Sn8 S8 O8'
_cell_length_a 6.0575
_cell_length_b 18.0390
_cell_length_c 5.9180
_cell_angle_alpha 90.00
_cell_angle_beta 90.00
_cell_angle_gamma 90.00
_symmetry_space_group_name_H-M 'P 1'
_symmetry_Int_Tables_number 1
_symmetry_space_group_name_Hall 'P 1'
loop_
_atom_site_label
_atom_site_fract_x
_atom_site_fract_y
_atom_site_fract_z
_atom_site_occupancy
S1 0.4833 0.8940 0.9062 1
S2 0.0167 0.1060 0.4062 1
S3 0.9833 0.6060 0.0938 1
S4 0.5167 0.1060 0.0938 1
S5 0.5167 0.3940 0.5938 1
S6 0.9833 0.8940 0.5938 1
S7 0.4833 0.6060 0.4062 1
S8 0.0167 0.3940 0.9062 1
Gd1 0.1170 0.1977 0.0282 1
Gd2 0.3830 0.8023 0.5282 1
Gd3 0.3830 0.6977 0.0282 1
Gd4 0.6170 0.3023 0.9718 1
Gd5 0.8830 0.6977 0.4718 1
Gd6 0.1170 0.3023 0.5282 1
Gd7 0.6170 0.1977 0.4718 1
Gd8 0.8830 0.8023 0.9718 1
Sn1 0.3763 0.4798 0.2154 1
Sn2 0.8763 0.0202 0.7846 1
Sn3 0.6237 0.5202 0.7846 1
Sn4 0.3763 0.0202 0.7154 1
Sn5 0.6237 0.9798 0.2846 1
Sn6 0.1237 0.9798 0.2154 1
Sn7 0.8763 0.4798 0.2846 1
Sn8 0.1237 0.5202 0.7154 1
O1 0.3595 0.2618 0.2481 1
O2 0.6405 0.7382 0.7519 1
O3 0.1405 0.7382 0.7481 1
O4 0.6405 0.7618 0.2519 1
O5 0.3595 0.2382 0.7481 1
O6 0.1405 0.7618 0.2481 1
O7 0.8595 0.2382 0.7519 1
O8 0.8595 0.2618 0.2519 1